1.
The following is a DFT calculation (PBE) of a geometry-optimized Fe5H structure.

## Properties
As for the space group: No. 191. The calculation puts the magnetic moment at 1.57 μB per atom. Its total energy is -39.44 eV per cell.

Cell lengths 4.581, 4.581, 4.022 Å; angles 90.00, 90.00, 120.00 degrees
Positions (direct):
Fe: 0.000 0.500 0.000
Fe: 0.333 0.667 0.500
Fe: 0.500 0.000 0.000
Fe: 0.500 0.500 0.000
Fe: 0.667 0.333 0.500
H: 0.000 0.000 0.500

---

2.
The following is a DFT calculation (PBE) of a geometry-optimized Fe3H structure.

## Properties
As for the space group: No. 221. The calculation puts the magnetic moment at 1.53 μB per atom. Its total energy is -25.78 eV per cell. Its polymorph energy (0 for the lowest one) is 0.0268 eV per atom.

Cell lengths 3.395, 3.395, 3.395 Å; angles 90.00, 90.00, 90.00 degrees
Positions (direct):
Fe: 0.000 0.000 0.500
Fe: 0.000 0.500 0.000
Fe: 0.500 0.000 0.000
H: 0.500 0.500 0.500